DFT (PBE) results for a relaxed Ho4Tm8Zr crystal.

a = 7.203 Å, b = 7.204 Å, c = 9.732 Å
α = 89.99°, β = 111.74°, γ = 119.99°
Each line ends with the local moment (μB).
Positions (direct):
Tm (0.941, 0.195, 0.687)  0.08
Zr (0.000, 0.500, 0.500)  0.50
Tm (0.492, 0.746, 0.687)  0.08
Ho (0.500, 0.500, 0.000)  -0.02
Tm (0.059, 0.254, 0.313)  0.08
Tm (0.437, 0.219, 0.656)  0.04
Tm (0.059, 0.805, 0.313)  0.08
Ho (0.000, 0.000, 0.000)  -0.06
Tm (0.508, 0.254, 0.313)  0.08
Tm (0.941, 0.746, 0.687)  0.08
Ho (0.500, 0.000, 0.000)  -0.02
Tm (0.563, 0.781, 0.344)  0.04
Ho (0.000, 0.500, 0.000)  -0.02

Output
Its space group is R-3m, No. 166. The calculation puts the formation energy from the elements at 0.216 eV/atom. As for the spin magnetization: 0.939 μB per cell.